Entry 1:
{"formula": "Sc2MnCr", "functional": "PBE-GGA", "state": "optimized geometry", "lattice_angstrom": [[4.579, -1.564, 0.000], [4.579, 1.564, 0.000], [-1.123, 0.000, 5.176]], "species": ["Sc", "Sc", "Mn", "Cr"], "frac_coords": [[0.249, 0.249, 0.250], [0.751, 0.751, 0.750], [0.500, 0.500, 0.000], [0.000, 0.000, 0.500]], "polymorph_energy_mev_per_atom": 345, "crystal_system": "monoclinic", "formation_energy_ev_per_atom": 0.42}

Entry 2:
{"formula": "Sc2NiP", "functional": "PBE-GGA", "state": "optimized geometry", "lattice_angstrom": [[3.105, 0.000, 0.000], [0.000, 3.105, 0.000], [0.000, 0.000, 7.221]], "species": ["Sc", "Sc", "Ni", "P"], "frac_coords": [[0.000, 0.000, 0.000], [0.500, 0.500, 0.361], [0.000, 0.000, 0.612], [0.500, 0.500, 0.742]], "crystal_system": "tetragonal", "formation_energy_ev_per_atom": -0.40}

Entry 3:
{"formula": "PmEr7Sc3", "functional": "PBE-GGA", "state": "optimized geometry", "lattice_angstrom": [[6.916, 0.000, 0.000], [-3.458, 5.989, 0.000], [0.000, 0.000, 8.219]], "species": ["Pm", "Er", "Er", "Er", "Er", "Er", "Er", "Er", "Sc", "Sc", "Sc"], "frac_coords": [[0.000, 0.000, 0.000], [0.003, 0.501, 0.010], [0.331, 0.165, 0.658], [0.333, 0.667, 0.666], [0.499, 0.501, 0.010], [0.499, 0.997, 0.010], [0.835, 0.165, 0.658], [0.835, 0.669, 0.658], [0.168, 0.336, 0.335], [0.168, 0.832, 0.335], [0.664, 0.832, 0.335]], "polymorph_energy_mev_per_atom": 64, "crystal_system": "trigonal", "formation_energy_ev_per_atom": 0.23}

Entry 4:
{"formula": "Ca7Sn2N2", "functional": "PBE-GGA", "state": "optimized geometry", "lattice_angstrom": [[3.860, -5.385, 0.000], [3.860, 5.385, 0.000], [0.000, 0.000, 6.761]], "species": ["Ca", "Ca", "Ca", "Ca", "Ca", "Ca", "Ca", "Sn", "Sn", "N", "N"], "frac_coords": [[0.000, 0.000, 0.000], [0.000, 0.500, 0.228], [0.000, 0.500, 0.772], [0.500, 0.000, 0.228], [0.500, 0.000, 0.772], [0.500, 0.500, 0.212], [0.500, 0.500, 0.788], [0.187, 0.187, 0.500], [0.813, 0.813, 0.500], [0.301, 0.699, 0.000], [0.699, 0.301, 0.000]], "formation_energy_uncorrected_ev_per_atom": -0.5204, "crystal_system": "orthorhombic"}

Spin magnetization across the listed records, respectively: 5.54; 0.00; 0.10; 0.00 μB/f.u..
DOS(E_F) across the listed records, respectively: 1.29; 1.41; 1.67; 0.44 states/eV per atom.